# 1
Entry from Alexandria: a geometry-optimized NaLa2MgAg structure (PBE).

For the raw total energy, the calculation gives -2.947 eV per atom.

It has space group P4/mmm (No. 123), with a = 5.934 Å, b = 5.934 Å, c = 5.194 Å, α = 90.00°, β = 90.00° and γ = 90.00°. The inequivalent atoms are Na at (0.000, 0.000, 0.000), La at (0.000, 0.500, 0.500), Mg at (0.500, 0.500, 0.000) and Ag at (0.500, 0.500, 0.500).

---

# 2
Entry from Alexandria: a geometry-optimized LaNdMgAg structure (PBE).

For the raw total energy, the calculation gives -3.670 eV per atom. As for the offset from the most stable computed form: 1.12 kcal/mol of atoms.

It has space group F-43m (No. 216), with a = 7.728 Å, b = 7.728 Å, c = 7.728 Å, α = 90.00°, β = 90.00° and γ = 90.00°. The inequivalent atoms are La at (0.000, 0.000, 0.000), Nd at (0.000, 0.000, 0.500), Mg at (0.250, 0.250, 0.250) and Ag at (0.250, 0.250, 0.750).

---

# 3
Entry from Alexandria: a geometry-optimized LaNdMgAg structure (PBE).

For the raw total energy, the calculation gives -3.719 eV per atom. As for the offset from the most stable computed form: 0.00 kcal/mol of atoms.

It has space group P4mm (No. 99), with a = 3.890 Å, b = 3.890 Å, c = 7.551 Å, α = 90.00°, β = 90.00° and γ = 90.00°. The inequivalent atoms are La at (0.000, 0.000, 0.000), Nd at (0.000, 0.000, 0.517), Mg at (0.500, 0.500, 0.266) and Ag at (0.500, 0.500, 0.748).